1.
! CaBi3Ru, optimized geometry, DFT PBE; values from VASP
&SYSTEM
  ibrav = 0, nat = 5, ntyp = 3
/
ATOMIC_SPECIES
Ca 40.08 Ca.upf
Bi 208.98 Bi.upf
Ru 101.07 Ru.upf
CELL_PARAMETERS angstrom
5.740 0.000 0.000
0.000 5.740 0.000
0.000 0.000 5.740
ATOMIC_POSITIONS crystal
Ca 0.000 0.000 0.000
Bi 0.000 0.000 0.500
Bi 0.000 0.500 0.000
Bi 0.500 0.000 0.000
Ru 0.500 0.500 0.500
! - space-group type = Pm-3m (221)
! - volume (Å³/f.u.) = 189.1
! - VASP energy (eV/atom) = -3.2145

---

2.
! Ca3BiRu, optimized geometry, DFT PBE; values from VASP
&SYSTEM
  ibrav = 0, nat = 5, ntyp = 3
/
ATOMIC_SPECIES
Ca 40.08 Ca.upf
Bi 208.98 Bi.upf
Ru 101.07 Ru.upf
CELL_PARAMETERS angstrom
5.873 0.000 0.000
0.000 5.873 0.000
0.000 0.000 5.873
ATOMIC_POSITIONS crystal
Ca 0.000 0.000 0.500
Ca 0.000 0.500 0.000
Ca 0.500 0.000 0.000
Bi 0.000 0.000 0.000
Ru 0.500 0.500 0.500
! - space-group type = Pm-3m (221)
! - volume (Å³/f.u.) = 202.6
! - VASP energy (eV/atom) = -3.1840

---

3.
! Ca3BiRu, optimized geometry, DFT PBE; values from VASP
&SYSTEM
  ibrav = 0, nat = 5, ntyp = 3
/
ATOMIC_SPECIES
Ca 40.08 Ca.upf
Bi 208.98 Bi.upf
Ru 101.07 Ru.upf
CELL_PARAMETERS angstrom
5.380 0.000 0.000
0.000 5.380 0.000
0.000 0.000 5.380
ATOMIC_POSITIONS crystal
Ca 0.000 0.000 0.500
Ca 0.000 0.500 0.000
Ca 0.500 0.000 0.000
Bi 0.500 0.500 0.500
Ru 0.000 0.000 0.000
! - space-group type = Pm-3m (221)
! - volume (Å³/f.u.) = 155.8
! - VASP energy (eV/atom) = -3.8636